1.
Er3TeIr | PBE | relaxed

Cell and atoms, written as CIF:
```
data_Er3TeIr
_symmetry_space_group_name_H-M 'P 1'
_symmetry_Int_Tables_number 1
_symmetry_space_group_name_Hall 'P 1'
_cell_length_a 3.9999
_cell_length_b 7.1366
_cell_length_c 9.9382
_cell_angle_alpha 98.64
_cell_angle_beta 90.00
_cell_angle_gamma 106.27
loop_
_atom_site_label
_atom_site_fract_x
_atom_site_fract_y
_atom_site_fract_z
Er1 0.0286 0.0573 0.3559
Er2 0.9714 0.9427 0.6441
Er3 0.3639 0.7277 0.1285
Er4 0.6361 0.2723 0.8715
Er5 0.2455 0.4910 0.6460
Er6 0.7545 0.5090 0.3540
Te1 0.8626 0.7252 0.8882
Te2 0.1374 0.2748 0.1118
Ir1 0.6063 0.2125 0.5707
Ir2 0.3937 0.7875 0.4293
```

Space-group type ... C2/m, No. 12
Raw formation energy ... -20.3 kcal/mol of atoms
Total magnetic moment ... 0.00 μB/f.u.
Final energy ... -6.018 eV per atom
Excess energy over the best structure of this formula in the dataset ... 0.075 eV/atom

2.
Mn2InSe | PBE | relaxed

Cell and atoms, written as CIF:
```
data_Mn2InSe
_symmetry_space_group_name_H-M 'P 1'
_symmetry_Int_Tables_number 1
_symmetry_space_group_name_Hall 'P 1'
_cell_length_a 3.7636
_cell_length_b 4.3402
_cell_length_c 4.3402
_cell_angle_alpha 90.00
_cell_angle_beta 90.00
_cell_angle_gamma 90.00
loop_
_atom_site_label
_atom_site_fract_x
_atom_site_fract_y
_atom_site_fract_z
In1 0.5000 0.0000 0.5000
Mn1 0.0000 0.0000 0.0000
Mn2 0.0000 0.5000 0.5000
Se1 0.5000 0.5000 0.0000
```

Space-group type ... P4/mmm, No. 123
Raw formation energy ... 6.0 kcal/mol of atoms
Total magnetic moment ... 7.20 μB/f.u.
Final energy ... -5.881 eV per atom
Excess energy over the best structure of this formula in the dataset ... 0.233 eV/atom